[1]
Entry from Alexandria via LeMat-Bulk: Dy5Ho4Zn after structural relaxation (PBE).

Values from the calculation:
The calculated density comes out at 8.6 g cm⁻³. The formation enthalpy at 0 K is -0.052 eV per atom. As for the volume: 29.55 Å³/atom. The density of states at the Fermi level is 12.548 states/eV per cell.

a b c (Å): 3.536 3.536 23.637
angles (deg): 90.00 90.00 90.00
Sites, in units of the cell vectors:
Dy: 0.000 0.000 0.000
Dy: 0.000 0.000 0.212
Dy: 0.000 0.000 0.425
Dy: 0.000 0.000 0.575
Dy: 0.000 0.000 0.788
Ho: 0.500 0.500 0.106
Ho: 0.500 0.500 0.317
Ho: 0.500 0.500 0.683
Ho: 0.500 0.500 0.894
Zn: 0.500 0.500 0.500

[2]
Entry from Alexandria via LeMat-Bulk: NaSr2Ca after structural relaxation (PBE).

Values from the calculation:
The polymorph energy (0 for the lowest one) comes out at 0.81 eV per formula unit. The calculated density comes out at 2.0 g cm⁻³. The formation enthalpy at 0 K is 0.221 eV per atom. As for the volume: 48.50 Å³/atom. The density of states at the Fermi level is 9.059 states/eV per cell.

a b c (Å): 8.073 8.073 8.073
angles (deg): 103.21 103.21 122.89
Sites, in units of the cell vectors:
Na: 0.000 0.000 0.000
Na: 0.750 0.250 0.500
Sr: 0.095 0.625 0.970
Sr: 0.375 0.345 0.470
Sr: 0.655 0.125 0.030
Sr: 0.875 0.905 0.530
Ca: 0.250 0.750 0.500
Ca: 0.500 0.500 0.000

[3]
Entry from Alexandria via LeMat-Bulk: KMgW2N after structural relaxation (PBE).

Values from the calculation:
The calculated density comes out at 7.3 g cm⁻³. As for the volume: 20.38 Å³/atom. The density of states at the Fermi level is 5.090 states/eV per cell. The calculation puts the formation energy (no corrections) at 97.216 kcal/mol of atoms.

a b c (Å): 4.496 4.496 5.039
angles (deg): 90.00 90.00 90.00
Sites, in units of the cell vectors:
K: 0.000 0.000 0.000
Mg: 0.000 0.000 0.500
W: 0.000 0.500 0.000
W: 0.500 0.000 0.000
N: 0.500 0.500 0.500

[4]
Entry from Alexandria via LeMat-Bulk: PmHoPt2 after structural relaxation (PBE).

Values from the calculation:
The polymorph energy (0 for the lowest one) comes out at 0.00 eV per formula unit. The calculated density comes out at 12.7 g cm⁻³. The formation enthalpy at 0 K is -1.230 eV per atom. As for the volume: 22.97 Å³/atom. The density of states at the Fermi level is 2.485 states/eV per cell.

a b c (Å): 4.506 5.667 5.667
angles (deg): 39.43 90.00 90.00
Sites, in units of the cell vectors:
Pm: 0.000 0.000 0.000
Ho: 0.500 0.275 0.275
Pt: 0.000 0.727 0.727
Pt: 0.500 0.552 0.552